# Li3Bi3P4O16

An optimized crystal structure of Li3Bi3P4O16 (PBE-GGA, Alexandria).

```
Li3Bi3P4O16
1.0
9.243 0.000 0.000
0.000 5.416 0.000
-8.697 0.000 15.010
Li Bi P O
6 6 8 32
direct
0.000 0.000 0.000 Li
0.000 0.500 0.500 Li
0.105 0.051 0.289 Li
0.105 0.449 0.789 Li
0.895 0.551 0.211 Li
0.895 0.949 0.711 Li
0.401 0.544 0.632 Bi
0.401 0.956 0.132 Bi
0.500 0.000 0.500 Bi
0.500 0.500 0.000 Bi
0.599 0.044 0.868 Bi
0.599 0.456 0.368 Bi
0.231 0.526 0.393 P
0.231 0.974 0.893 P
0.269 0.039 0.638 P
0.269 0.461 0.138 P
0.731 0.539 0.862 P
0.731 0.961 0.362 P
0.769 0.026 0.107 P
0.769 0.474 0.607 P
0.086 0.090 0.810 O
0.086 0.410 0.310 O
0.136 0.223 0.581 O
0.136 0.277 0.081 O
0.208 0.520 0.475 O
0.208 0.980 0.975 O
0.216 0.723 0.151 O
0.216 0.777 0.651 O
0.268 0.702 0.876 O
0.268 0.798 0.376 O
0.387 0.530 0.096 O
0.387 0.970 0.596 O
0.389 0.173 0.728 O
0.389 0.327 0.228 O
0.395 0.132 0.917 O
0.395 0.368 0.417 O
0.605 0.632 0.583 O
0.605 0.868 0.083 O
0.611 0.673 0.772 O
0.611 0.827 0.272 O
0.613 0.030 0.404 O
0.613 0.470 0.904 O
0.732 0.202 0.624 O
0.732 0.298 0.124 O
0.784 0.223 0.349 O
0.784 0.277 0.849 O
0.792 0.020 0.025 O
0.792 0.480 0.525 O
0.864 0.723 0.919 O
0.864 0.777 0.419 O
0.914 0.590 0.690 O
0.914 0.910 0.190 O
```

Computed properties:
Uncorrected formation energy ... -1.99 eV per atom
Crystal system ... monoclinic

# LiBiP4O12

An optimized crystal structure of LiBiP4O12 (PBE-GGA, Alexandria).

```
LiBiP4O12
1.0
7.515 0.000 0.000
0.000 8.993 0.000
-0.612 0.000 7.577
Li Bi P O
2 2 8 24
direct
0.158 0.000 0.341 Li
0.842 0.500 0.659 Li
0.244 0.423 0.793 Bi
0.756 0.923 0.207 Bi
0.114 0.038 0.905 P
0.124 0.640 0.398 P
0.408 0.819 0.886 P
0.467 0.482 0.431 P
0.533 0.982 0.569 P
0.592 0.319 0.114 P
0.876 0.140 0.602 P
0.886 0.538 0.095 P
0.048 0.012 0.085 O
0.057 0.530 0.236 O
0.068 0.795 0.353 O
0.071 0.576 0.570 O
0.213 0.891 0.841 O
0.227 0.173 0.883 O
0.336 0.623 0.388 O
0.353 0.034 0.508 O
0.369 0.374 0.545 O
0.392 0.659 0.833 O
0.461 0.405 0.239 O
0.473 0.861 0.072 O
0.527 0.361 0.928 O
0.539 0.905 0.761 O
0.608 0.159 0.167 O
0.631 0.874 0.455 O
0.647 0.534 0.492 O
0.664 0.123 0.612 O
0.773 0.673 0.117 O
0.787 0.391 0.159 O
0.929 0.076 0.430 O
0.932 0.295 0.647 O
0.943 0.030 0.764 O
0.952 0.512 0.915 O
```

Computed properties:
Uncorrected formation energy ... -2.07 eV per atom
Crystal system ... monoclinic
Energy above the most stable polymorph in this dataset ... 25 meV per atom

no.,DFT total energy (eV/atom)
1,-6.545
2,-6.904